No. 1
Below is an optimized crystal structure of LaTlZn2Os, with properties calculated at the PBE level.

Results
Volume ... 24.5 Å³ per atom
Energy relative to the elements ... 0.1148 eV/atom
Space-group type ... P4/mmm

a b c (Å): 4.8671 5.1672 4.8671
angles (deg): 90.00 90.00 90.00
Sites, in units of the cell vectors:
Tl 0.0000 0.5000 0.0000
Os 0.0000 0.0000 0.0000
Zn 0.0000 0.0000 0.5000
Zn 0.5000 0.0000 0.0000
La 0.5000 0.5000 0.5000

=====

No. 2
Below is an optimized crystal structure of SrSc2NbCl, with properties calculated at the PBE level.

Results
Formation energy without anion corrections ... 1.35 eV per atom
Volume ... 34.8 Å³ per atom
Space-group type ... P4/mmm

a b c (Å): 5.8531 5.0830 5.8531
angles (deg): 90.00 90.00 90.00
Each line ends with the local moment (μB).
Sites, in units of the cell vectors:
Sc 0.0000 0.0000 0.5000  0.42
Sc 0.5000 0.0000 0.0000  0.30
Sr 0.0000 0.0000 0.0000  0.04
Nb 0.5000 0.5000 0.5000  2.64
Cl 0.0000 0.5000 0.0000  0.05

=====

No. 3
Below is an optimized crystal structure of NaTeIN2, with properties calculated at the PBE level.

Results
Offset from the most stable computed form ... 905 meV/atom
Formation energy without anion corrections ... 1.74 eV per atom
Volume ... 28.4 Å³ per atom
Space-group type ... P4/mmm

a b c (Å): 4.6297 4.6297 6.6292
angles (deg): 90.00 90.00 90.00
Each line ends with the local moment (μB).
Sites, in units of the cell vectors:
I 0.0000 0.0000 0.5000  0.04
Na 0.0000 0.0000 0.0000  0.01
Te 0.5000 0.5000 0.5000  0.14
N 0.0000 0.5000 0.0000  1.66
N 0.5000 0.0000 0.0000  1.66

=====

No. 4
Below is an optimized crystal structure of MnHgRu2, with properties calculated at the PBE level.

Results
Volume ... 15.7 Å³ per atom
Energy relative to the elements ... 0.2929 eV/atom
Space-group type ... Pmm2

a b c (Å): 3.7916 2.8693 6.4391
angles (deg): 63.59 90.00 90.00
Each line ends with the local moment (μB).
Sites, in units of the cell vectors:
Hg 0.0000 0.4949 0.5053  0.00
Mn 0.5000 0.7244 0.7759  3.46
Ru 0.0000 0.9889 0.0109  0.04
Ru 0.5000 0.2918 0.2079  0.04

=====

No. 5
Below is an optimized crystal structure of ErPuInHg, with properties calculated at the PBE level.

Results
Volume ... 26.5 Å³ per atom
Energy relative to the elements ... -0.2563 eV/atom
Space-group type ... F-43m

a b c (Å): 5.3107 5.3107 5.3107
angles (deg): 60.00 60.00 60.00
Each line ends with the local moment (μB).
Sites, in units of the cell vectors:
Er 0.5000 0.5000 0.5000  0.28
In 0.2500 0.2500 0.2500  -0.02
Hg 0.7500 0.7500 0.7500  0.05
Pu 0.0000 0.0000 0.0000  5.49

=====

No. 6
Below is an optimized crystal structure of CuOsNO2, with properties calculated at the PBE level.

Results
Formation energy without anion corrections ... 0.13 eV per atom
Volume ... 11.4 Å³ per atom
Space-group type ... P4/mmm

a b c (Å): 3.8685 3.8685 3.8224
angles (deg): 90.00 90.00 90.00
Sites, in units of the cell vectors:
Os 0.0000 0.0000 0.0000
O 0.0000 0.5000 0.0000
O 0.5000 0.0000 0.0000
Cu 0.5000 0.5000 0.5000
N 0.0000 0.0000 0.5000